# 1
Material: Tm6TlIn3
Method: DFT, PBE
State: optimized geometry

a = 9.6203 Å, b = 5.1404 Å, c = 11.2403 Å
α = 90.00°, β = 104.36°, γ = 90.00°
Closest atoms and distances in Å follow each position.
Sites, in units of the cell vectors:
Tm (0.0560, 0.2500, 0.4120)  6 In 3.18-3.35, 2 Tm 3.43-3.53
Tm (0.1543, 0.7500, 0.1837)  1 Tl 3.09, 5 In 3.12-3.23, 2 Tm 3.42
Tm (0.2537, 0.2500, 0.9948)  4 In 3.16-3.37, 3 Tl 3.23-3.40
Tm (0.3292, 0.7500, 0.7999)  4 In 3.27-3.57, 3 Tl 3.37-3.38, 5 Tm 3.45-3.57
Tm (0.3705, 0.2500, 0.3202)  8 Tm 3.29-3.55, 3 In 3.32-3.53, 2 Tl 3.68
Tm (0.3995, 0.2500, 0.6183)  1 Tl 3.06, 3 In 3.09-3.11, 3 Tm 3.29-3.35
Tm (0.6005, 0.7500, 0.3817)  1 Tl 3.06, 3 In 3.09-3.11, 3 Tm 3.29-3.35
Tm (0.6295, 0.7500, 0.6798)  8 Tm 3.29-3.55, 3 In 3.32-3.53, 2 Tl 3.68
Tm (0.6708, 0.2500, 0.2001)  4 In 3.27-3.57, 3 Tl 3.37-3.38, 5 Tm 3.45-3.57
Tm (0.7463, 0.7500, 0.0052)  4 In 3.16-3.37, 3 Tl 3.23-3.40
Tm (0.8457, 0.2500, 0.8163)  1 Tl 3.09, 5 In 3.12-3.23, 2 Tm 3.42
Tm (0.9440, 0.7500, 0.5880)  6 In 3.18-3.35, 2 Tm 3.43-3.53
Tl (0.4431, 0.7500, 0.1096)  8 Tm 3.06-3.40
Tl (0.5569, 0.2500, 0.8904)  8 Tm 3.06-3.40
In (0.0303, 0.7500, 0.8888)  8 Tm 3.12-3.37
In (0.1191, 0.2500, 0.7083)  8 Tm 3.11-3.27
In (0.2857, 0.7500, 0.4747)  8 Tm 3.09-3.44
In (0.7143, 0.2500, 0.5253)  8 Tm 3.09-3.44
In (0.8809, 0.7500, 0.2917)  8 Tm 3.11-3.27
In (0.9697, 0.2500, 0.1112)  8 Tm 3.12-3.37

Values from the calculation:
E_form (meV per atom): -317
Uncorrected energy (eV per atom): -4.058
Spin magnetization (μB/f.u.): 0.000

# 2
Material: FeTeOs2
Method: DFT, PBE
State: optimized geometry

a = 4.0723 Å, b = 4.0723 Å, c = 3.6788 Å
α = 90.00°, β = 90.00°, γ = 90.00°
Closest atoms and distances in Å follow each position.
Sites, in units of the cell vectors:
Fe (0.0000, 0.0000, 0.0000)  8 Os 2.74, 4 Te 2.88
Te (0.5000, 0.5000, 0.0000)  8 Os 2.74, 4 Fe 2.88
Os (0.0000, 0.5000, 0.5000)  4 Te 2.74, 4 Fe 2.74, 4 Os 2.88
Os (0.5000, 0.0000, 0.5000)  4 Te 2.74, 4 Fe 2.74, 4 Os 2.88

Values from the calculation:
Uncorrected energy (eV per atom): -7.771
ΔE_f (raw) (eV/f.u.): 3.0
Spin magnetization (μB/f.u.): 2.092

# 3
Material: CaHg4Au2
Method: DFT, PBE
State: optimized geometry

a = 4.3634 Å, b = 4.3292 Å, c = 9.3383 Å
α = 90.00°, β = 100.57°, γ = 90.00°
Closest atoms and distances in Å follow each position.
Sites, in units of the cell vectors:
Ca (0.0000, 0.0000, 0.0000)  8 Au 3.20-3.49
Hg (0.1063, 0.5000, 0.3550)  2 Au 2.87-2.98, 5 Hg 3.02-3.09
Hg (0.3885, 0.0000, 0.6441)  2 Au 2.92, 5 Hg 3.03-3.09
Hg (0.6115, 0.0000, 0.3559)  2 Au 2.92, 5 Hg 3.03-3.09
Hg (0.8937, 0.5000, 0.6450)  2 Au 2.87-2.98, 5 Hg 3.02-3.09
Au (0.4940, 0.5000, 0.8573)  1 Au 2.66, 3 Hg 2.87-2.92
Au (0.5060, 0.5000, 0.1427)  1 Au 2.66, 3 Hg 2.87-2.92

Values from the calculation:
E_form (meV per atom): -237
Energy above the most stable polymorph in this dataset (kJ/mol of formula units): 0
Uncorrected energy (eV per atom): -1.632
Spin magnetization (μB/f.u.): 0.000

# 4
Material: SrHoCuPt
Method: DFT, PBE
State: optimized geometry

a = 5.0563 Å, b = 5.0563 Å, c = 5.0563 Å
α = 60.00°, β = 60.00°, γ = 60.00°
Closest atoms and distances in Å follow each position.
Sites, in units of the cell vectors:
Sr (0.0000, 0.0000, 0.0000)  4 Cu 3.10, 4 Pt 3.10
Ho (0.5000, 0.5000, 0.5000)  4 Cu 3.10, 4 Pt 3.10
Cu (0.7500, 0.7500, 0.7500)  4 Ho 3.10, 4 Sr 3.10
Pt (0.2500, 0.2500, 0.2500)  4 Ho 3.10, 4 Sr 3.10

Values from the calculation:
E_form (meV per atom): -491
Uncorrected energy (eV per atom): -4.590
Spin magnetization (μB/f.u.): 0.000

# 5
Material: Np3Pa4S8
Method: DFT, PBE
State: optimized geometry

a = 7.7491 Å, b = 7.7491 Å, c = 7.7541 Å
α = 119.89°, β = 119.89°, γ = 90.07°
Closest atoms and distances in Å follow each position.
Sites, in units of the cell vectors:
Np (0.0000, 0.0000, 0.0000)  6 S 2.72-2.75
Np (0.0000, 0.5000, 0.0000)  6 S 2.74-2.75
Np (0.5000, 0.0000, 0.0000)  6 S 2.74-2.75
Pa (0.0000, 0.0000, 0.5000)  6 S 2.81
Pa (0.0000, 0.5000, 0.5000)  6 S 2.74-2.75
Pa (0.5000, 0.0000, 0.5000)  6 S 2.74-2.75
Pa (0.5000, 0.5000, 0.0000)  6 S 2.75-2.77
S (0.2477, 0.7523, 0.0000)  3 Np 2.72-2.74, 3 Pa 2.75-2.77
S (0.2543, 0.2543, 0.0105)  3 Np 2.73-2.74, 2 Pa 2.75-2.81
S (0.2559, 0.7441, 0.5000)  3 Pa 2.74-2.81, 2 Np 2.75
S (0.2568, 0.2568, 0.4997)  4 Pa 2.74-2.81, 1 Np 2.75
S (0.7432, 0.7432, 0.5003)  4 Pa 2.74-2.81, 1 Np 2.75
S (0.7441, 0.2559, 0.5000)  3 Pa 2.74-2.81, 2 Np 2.75
S (0.7457, 0.7457, 0.9895)  3 Np 2.73-2.74, 2 Pa 2.75-2.81
S (0.7523, 0.2477, 0.0000)  3 Np 2.72-2.74, 3 Pa 2.75-2.77

Values from the calculation:
Uncorrected energy (eV per atom): -8.835
ΔE_f (raw) (eV/f.u.): -22.7
Spin magnetization (μB/f.u.): 12.516

# 6
Material: TlCuNiCl6
Method: DFT, PBE
State: optimized geometry

a = 6.2776 Å, b = 6.2776 Å, c = 6.1875 Å
α = 90.00°, β = 90.00°, γ = 120.00°
Closest atoms and distances in Å follow each position.
Sites, in units of the cell vectors:
Tl (0.0000, 0.0000, 0.0000)  6 Cl 2.89
Cu (0.3333, 0.6667, 0.5000)  6 Cl 2.44
Ni (0.6667, 0.3333, 0.5000)  6 Cl 2.38
Cl (0.3688, 0.0069, 0.7166)  1 Ni 2.38, 1 Cu 2.44
Cl (0.3688, 0.3618, 0.2834)  1 Ni 2.38, 1 Cu 2.44
Cl (0.6382, 0.0069, 0.2834)  1 Ni 2.38, 1 Cu 2.44
Cl (0.6382, 0.6312, 0.7166)  1 Ni 2.38, 1 Cu 2.44
Cl (0.9931, 0.3618, 0.7166)  1 Ni 2.38, 1 Cu 2.44
Cl (0.9931, 0.6312, 0.2834)  1 Ni 2.38, 1 Cu 2.44

Values from the calculation:
Uncorrected energy (eV per atom): -3.157
ΔE_f (raw) (eV/f.u.): -5.1
Spin magnetization (μB/f.u.): 2.374

# 7
Material: PrNd2Bi
Method: DFT, PBE
State: optimized geometry

a = 12.6696 Å, b = 12.6696 Å, c = 12.6696 Å
α = 16.48°, β = 16.48°, γ = 16.48°
Closest atoms and distances in Å follow each position.
Sites, in units of the cell vectors:
Pr (0.0000, 0.0000, 0.0000)  6 Pr 3.63, 6 Nd 3.67
Nd (0.4136, 0.4136, 0.4136)  1 Bi 3.24
Nd (0.5864, 0.5864, 0.5864)  1 Bi 3.24
Bi (0.5000, 0.5000, 0.5000)  2 Nd 3.24

Values from the calculation:
E_form (meV per atom): 5
Energy above the most stable polymorph in this dataset (kJ/mol of formula units): 179
Uncorrected energy (eV per atom): -4.544
Spin magnetization (μB/f.u.): 0.000

# 8
Material: Mg5Al2Ga5
Method: DFT, PBE
State: optimized geometry

a = 7.7278 Å, b = 7.7278 Å, c = 8.9505 Å
α = 125.30°, β = 125.30°, γ = 33.11°
Closest atoms and distances in Å follow each position.
Sites, in units of the cell vectors:
Mg (0.0000, 0.0000, 0.0000)  6 Ga 2.96-3.28, 4 Al 2.98, 2 Mg 3.04
Mg (0.0837, 0.0837, 0.7622)  7 Ga 2.90-3.08, 3 Al 3.02-3.22, 3 Mg 3.04-3.19
Mg (0.1854, 0.1854, 0.5359)  5 Ga 2.90-3.09, 1 Al 3.02, 4 Mg 3.17-3.23
Mg (0.8146, 0.8146, 0.4641)  5 Ga 2.90-3.09, 1 Al 3.02, 4 Mg 3.17-3.23
Mg (0.9163, 0.9163, 0.2378)  7 Ga 2.90-3.08, 3 Al 3.02-3.22, 3 Mg 3.04-3.19
Al (0.3508, 0.3508, 0.9581)  5 Ga 2.63-2.91
Al (0.6492, 0.6492, 0.0419)  5 Ga 2.63-2.91
Ga (0.2696, 0.2696, 0.1838)  3 Al 2.63-2.91, 1 Ga 2.83, 2 Mg 2.92
Ga (0.4276, 0.4276, 0.7292)  2 Al 2.74-2.88, 1 Ga 2.83, 5 Mg 2.90-2.96
Ga (0.5000, 0.5000, 0.5000)  4 Ga 2.83, 4 Mg 2.90
Ga (0.5724, 0.5724, 0.2708)  2 Al 2.74-2.88, 1 Ga 2.83, 5 Mg 2.90-2.96
Ga (0.7304, 0.7304, 0.8162)  3 Al 2.63-2.91, 1 Ga 2.83, 2 Mg 2.92

Values from the calculation:
E_form (meV per atom): -88
Uncorrected energy (eV per atom): -2.638
Spin magnetization (μB/f.u.): 0.000

# 9
Material: YSc2TiW
Method: DFT, PBE
State: optimized geometry

a = 4.8890 Å, b = 4.8890 Å, c = 4.6896 Å
α = 90.00°, β = 90.00°, γ = 90.00°
Closest atoms and distances in Å follow each position.
Sites, in units of the cell vectors:
Y (0.0000, 0.0000, 0.0000)  2 Ti 2.34, 4 Sc 2.44
Sc (0.0000, 0.5000, 0.0000)  2 Y 2.44
Sc (0.5000, 0.0000, 0.0000)  2 Y 2.44
Ti (0.0000, 0.0000, 0.5000)  2 Y 2.34
W (0.5000, 0.5000, 0.5000)  8 Sc 3.39, 4 Ti 3.46

Values from the calculation:
E_form (meV per atom): 1799
Uncorrected energy (eV per atom): -6.196
Spin magnetization (μB/f.u.): 0.000

# 10
Material: SmGa5Ni3
Method: DFT, PBE
State: optimized geometry

a = 6.4736 Å, b = 6.4736 Å, c = 12.2828 Å
α = 90.00°, β = 90.00°, γ = 144.65°
Closest atoms and distances in Å follow each position.
Sites, in units of the cell vectors:
Sm (0.1719, 0.8281, 0.7500)  6 Ni 3.16-3.37, 4 Ga 3.34
Sm (0.8281, 0.1719, 0.2500)  6 Ni 3.16-3.37, 4 Ga 3.34
Ga (0.0000, 0.0000, 0.0000)  4 Ni 2.41, 2 Ga 2.67
Ga (0.0000, 0.0000, 0.5000)  4 Ni 2.41, 2 Ga 2.67
Ga (0.2058, 0.7942, 0.0678)  2 Ni 2.34-2.44
Ga (0.2058, 0.7942, 0.4322)  2 Ni 2.34-2.44
Ga (0.4495, 0.5505, 0.6520)  1 Ga 2.41, 4 Ni 2.41-2.49
Ga (0.4495, 0.5505, 0.8480)  1 Ga 2.41, 4 Ni 2.41-2.49
Ga (0.5505, 0.4495, 0.1520)  1 Ga 2.41, 4 Ni 2.41-2.49
Ga (0.5505, 0.4495, 0.3480)  1 Ga 2.41, 4 Ni 2.41-2.49
Ga (0.7942, 0.2058, 0.5678)  2 Ni 2.34-2.44
Ga (0.7942, 0.2058, 0.9322)  2 Ni 2.34-2.44
Ni (0.1277, 0.8723, 0.2500)  6 Ga 2.44-2.49
Ni (0.3927, 0.6073, 0.0363)  5 Ga 2.34-2.42
Ni (0.3927, 0.6073, 0.4637)  5 Ga 2.34-2.42
Ni (0.6073, 0.3927, 0.5363)  5 Ga 2.34-2.42
Ni (0.6073, 0.3927, 0.9637)  5 Ga 2.34-2.42
Ni (0.8723, 0.1277, 0.7500)  6 Ga 2.44-2.49

Values from the calculation:
E_form (meV per atom): -403
Uncorrected energy (eV per atom): -4.536
Spin magnetization (μB/f.u.): 0.000

Q: Look up the uncorrected energy of the seventh one.
A: -4.544 eV per atom